# Ca5Sn4Au GGA-PBE optimized geometry
data_Ca5Sn4Au
_chemical_formula_sum 'Ca5 Sn4 Au1'
_space_group_name_H-M_alt 'P 1'
_space_group_IT_number 1
_cell_length_a 3.5708
_cell_length_b 3.5708
_cell_length_c 21.4582
_cell_angle_alpha 90.00
_cell_angle_beta 90.00
_cell_angle_gamma 90.00
loop_
_space_group_symop_operation_xyz
'x,y,z'
loop_
_atom_site_label
_atom_site_fract_x
_atom_site_fract_y
_atom_site_fract_z
_atom_site_occupancy
Sn1 0.0000 0.0000 0.8125 1
Sn2 0.0000 0.0000 0.3957 1
Sn3 0.0000 0.0000 0.6043 1
Sn4 0.0000 0.0000 0.1875 1
Ca1 0.5000 0.5000 0.0855 1
Ca2 0.5000 0.5000 0.2907 1
Ca3 0.5000 0.5000 0.7093 1
Ca4 0.5000 0.5000 0.5000 1
Ca5 0.5000 0.5000 0.9145 1
Au1 0.0000 0.0000 0.0000 1
# **DFT total energy**: -3.598 eV/atom
# **Formation enthalpy at 0 K**: -645 kJ/mol of formula units
# **Total moment**: 0.00 μB/f.u.